# LiTcAs3 PBE-GGA optimized geometry
data_LiTcAs3
_cell_length_a 4.869
_cell_length_b 4.869
_cell_length_c 4.869
_cell_angle_alpha 90.00
_cell_angle_beta 90.00
_cell_angle_gamma 90.00
_symmetry_space_group_name_H-M 'P 1'
_symmetry_Int_Tables_number 1
loop_
_symmetry_equiv_pos_as_xyz
'x,y,z'
loop_
_atom_site_label
_atom_site_fract_x
_atom_site_fract_y
_atom_site_fract_z
As1 0.000 0.500 0.000
As2 0.000 0.000 0.500
As3 0.500 0.000 0.000
Tc1 0.000 0.000 0.000
Li1 0.500 0.500 0.500
# **Formation enthalpy at 0 K**: 1.46 eV/f.u.
# **D(E_F)**: 5.232 states/eV/cell
# **Relative energy among the computed polymorphs**: 0.000 eV per atom
# **SG**: No. 221